Computed, not measured: crystalline Cr2IrF at its relaxed geometry at the PBE+U level of DFT.

Output
total magnetic moment: 1.9924 μB/atom
relative energy among the computed polymorphs: 154 meV/atom
space-group type: Fm-3m (225)

a b c (Å): 4.4027 4.4027 4.4027
angles (deg): 60.00 60.00 60.00
Atoms (fractional coordinates):
Cr 0.2500 0.2500 0.2500
Cr 0.7500 0.7500 0.7500
Ir 0.5000 0.5000 0.5000
F 0.0000 0.0000 0.0000